(1)
Compound: Cs3ZnW
Source: Alexandria via LeMat-Bulk
Functional: PBE-GGA
Structure: relaxed

The space group is No. 221. Its formation energy is 32.7 kcal/mol of atoms. As for the density: 2590 kg/m3.

Lattice parameters (Å, degrees): 7.4618 7.4618 7.4618 90.00 90.00 90.00
Element x y z (fractional)
Zn  0.5000  0.5000  0.5000
Cs  0.0000  0.0000  0.5000
Cs  0.0000  0.5000  0.0000
Cs  0.5000  0.0000  0.0000
W  0.0000  0.0000  0.0000

---

(2)
Compound: Ce2Dy2Tm7
Source: Alexandria via LeMat-Bulk
Functional: PBE-GGA
Structure: relaxed

The space group is No. 12. Its formation energy is 4.7 kcal/mol of atoms. As for the density: 8669 kg/m3. The value obtained for the energy above the most stable polymorph in this dataset is 0.0000 eV/atom.

Lattice parameters (Å, degrees): 5.9156 7.9302 7.9302 92.48 74.40 74.40
Element x y z (fractional)
Ce  0.5000  0.2151  0.7849
Ce  0.5000  0.7849  0.2151
Tm  0.1712  0.5916  0.0644
Tm  0.8288  0.4084  0.9356
Tm  0.8070  0.4059  0.4059
Tm  0.1930  0.5941  0.5941
Tm  0.1712  0.0644  0.5916
Tm  0.0000  0.0000  0.0000
Tm  0.8288  0.9356  0.4084
Dy  0.5873  0.7688  0.7688
Dy  0.4127  0.2312  0.2312

---

(3)
Compound: CaAcTb
Source: Alexandria via LeMat-Bulk
Functional: PBE-GGA
Structure: relaxed

The space group is No. 129. Its formation energy is 7.2 kcal/mol of atoms. As for the density: 5863 kg/m3. The value obtained for the energy above the most stable polymorph in this dataset is 0.2643 eV/atom.

Lattice parameters (Å, degrees): 5.0328 5.0328 9.5264 90.00 90.00 90.00
Element x y z (fractional)
Tb  0.5000  0.0000  0.2762
Tb  0.0000  0.5000  0.7238
Ac  0.5000  0.0000  0.6453
Ac  0.0000  0.5000  0.3547
Ca  0.0000  0.0000  0.0000
Ca  0.5000  0.5000  0.0000

---

(4)
Compound: AcHPd3
Source: Alexandria via LeMat-Bulk
Functional: PBE-GGA
Structure: relaxed

The space group is No. 59. As for the density: 10301 kg/m3. The value obtained for the energy above the most stable polymorph in this dataset is 0.0087 eV/atom.

Lattice parameters (Å, degrees): 4.7137 5.9545 6.2860 90.00 90.00 90.00
Element x y z (fractional)
Pd  0.4756  0.8173  0.4819
Pd  0.4756  0.4281  0.2008
Pd  0.9756  0.5354  0.4196
Pd  0.9756  0.9247  0.7008
Pd  0.9756  0.5354  0.9819
Pd  0.4756  0.8173  0.9196
H  0.4757  0.7704  0.2008
H  0.9757  0.5825  0.7008
Ac  0.4756  0.3213  0.7007
Ac  0.9756  0.0315  0.2007

---

(5)
Compound: BaY2MgFe
Source: Alexandria via LeMat-Bulk
Functional: PBE-GGA
Structure: relaxed

The space group is No. 123. Its formation energy is 2.9 kcal/mol of atoms. As for the density: 4380 kg/m3.

Lattice parameters (Å, degrees): 5.2347 5.2347 5.4685 90.00 90.00 90.00
Element x y z (fractional)
Y  0.5000  0.0000  0.0000
Y  0.0000  0.5000  0.0000
Ba  0.5000  0.5000  0.5000
Fe  0.0000  0.0000  0.0000
Mg  0.0000  0.0000  0.5000

---

(6)
Compound: LaMgAg2
Source: Alexandria via LeMat-Bulk
Functional: PBE-GGA
Structure: relaxed

The space group is No. 99. Its formation energy is -3.4 kcal/mol of atoms. As for the density: 6647 kg/m3.

Lattice parameters (Å, degrees): 3.5660 3.5631 7.4508 90.00 90.00 90.00
Element x y z (fractional)
La  0.0000  0.0000  0.4794
Ag  0.5000  0.5000  0.2037
Ag  0.0000  0.0000  0.0015
Mg  0.5000  0.5000  0.8154

---

(7)
Compound: Li2MgTe2
Source: Alexandria via LeMat-Bulk
Functional: PBE-GGA
Structure: relaxed

The calculation puts the uncorrected formation energy at -628 meV per atom. The space group is No. 139. As for the density: 4086 kg/m3. The value obtained for the energy above the most stable polymorph in this dataset is 0.0644 eV/atom.

Lattice parameters (Å, degrees): 4.0504 4.0504 7.8117 74.97 74.97 90.00
Element x y z (fractional)
Te  0.3793  0.3793  0.2414
Te  0.6207  0.6207  0.7586
Li  0.7500  0.2500  0.5000
Li  0.2500  0.7500  0.5000
Mg  0.0000  0.0000  0.0000

---

(8)
Compound: Be2GeOsF
Source: Alexandria via LeMat-Bulk
Functional: PBE-GGA
Structure: relaxed

The calculation puts the uncorrected formation energy at 256 meV per atom. The space group is No. 123. As for the density: 5842 kg/m3.

Lattice parameters (Å, degrees): 4.2484 4.7229 4.2484 90.00 90.00 90.00
Element x y z (fractional)
F  0.5000  0.5000  0.5000
Be  0.5000  0.0000  0.0000
Be  0.0000  0.0000  0.5000
Ge  0.0000  0.5000  0.0000
Os  0.0000  0.0000  0.0000

---

(9)
Compound: K4BeTc
Source: Alexandria via LeMat-Bulk
Functional: PBE-GGA
Structure: relaxed

The space group is No. 216. Its formation energy is 33.7 kcal/mol of atoms. As for the density: 1741 kg/m3.

Lattice parameters (Å, degrees): 7.0832 7.0832 7.0832 60.00 60.00 60.00
Element x y z (fractional)
K  0.8752  0.3749  0.3749
K  0.3749  0.3749  0.3749
K  0.3749  0.8752  0.3749
K  0.3749  0.3749  0.8752
Tc  0.7500  0.7500  0.7500
Be  0.0000  0.0000  0.0000

---

(10)
Compound: AlZnSi
Source: Alexandria via LeMat-Bulk
Functional: PBE-GGA
Structure: relaxed

The calculation puts the uncorrected formation energy at 145 meV per atom. The space group is No. 166. As for the density: 3739 kg/m3.

Lattice parameters (Å, degrees): 4.4739 4.4739 6.6921 70.47 70.47 60.00
Element x y z (fractional)
Si  0.2483  0.2483  0.2550
Si  0.7517  0.7517  0.7450
Al  0.3843  0.3843  0.8470
Al  0.6157  0.6157  0.1530
Zn  0.1124  0.1124  0.6628
Zn  0.8876  0.8876  0.3372

---

> Which formula does entry 3 have?

CaAcTb

---

Please write out number 5 again, unchanged.
Compound: BaY2MgFe
Source: Alexandria via LeMat-Bulk
Functional: PBE-GGA
Structure: relaxed

The space group is No. 123. Its formation energy is 2.9 kcal/mol of atoms. As for the density: 4380 kg/m3.

Lattice parameters (Å, degrees): 5.2347 5.2347 5.4685 90.00 90.00 90.00
Element x y z (fractional)
Y  0.5000  0.0000  0.0000
Y  0.0000  0.5000  0.0000
Ba  0.5000  0.5000  0.5000
Fe  0.0000  0.0000  0.0000
Mg  0.0000  0.0000  0.5000